Crystalline ScSiNF2 at its relaxed geometry. Source: Alexandria, functional PBE-GGA.

Values from the calculation:
* E_form (uncorrected): -7.0 eV per formula unit
* space group: P4/mmm
* mass density: 2.96 g/cm³

Lattice parameters (Å, degrees): 3.980 3.980 4.428 90.00 90.00 90.00
Sites, in units of the cell vectors:
F 0.000 0.500 0.000
N 0.000 0.000 0.500
F 0.500 0.000 0.000
Sc 0.000 0.000 0.000
Si 0.500 0.500 0.500

***

Crystalline ScSiNF2 at its relaxed geometry. Source: Alexandria, functional PBE-GGA.

Values from the calculation:
* E_form (uncorrected): -6.0 eV per formula unit
* space group: P4/mmm
* mass density: 3.41 g/cm³

Lattice parameters (Å, degrees): 4.270 4.270 3.338 90.00 90.00 90.00
Last column: magnetic moment on the atom in μB.
Sites, in units of the cell vectors:
N 0.000 0.000 0.500  0.01
Sc 0.500 0.500 0.500  0.35
F 0.500 0.000 0.000  0.01
F 0.000 0.500 0.000  0.01
Si 0.000 0.000 0.000  0.02

***

Crystalline ScSnNF2 at its relaxed geometry. Source: Alexandria, functional PBE-GGA.

Values from the calculation:
* E_form (uncorrected): -4.4 eV per formula unit
* space group: P4/mmm
* mass density: 4.39 g/cm³

Lattice parameters (Å, degrees): 4.386 4.386 4.239 90.00 90.00 90.00
Last column: magnetic moment on the atom in μB.
Sites, in units of the cell vectors:
F 0.000 0.500 0.000  0.02
N 0.000 0.000 0.500  -0.02
Sc 0.500 0.500 0.500  0.85
F 0.500 0.000 0.000  0.02
Sn 0.000 0.000 0.000  0.02

***

Crystalline ScSnNF2 at its relaxed geometry. Source: Alexandria, functional PBE-GGA.

Values from the calculation:
* E_form (uncorrected): -9.1 eV per formula unit
* space group: P4/mmm
* mass density: 4.86 g/cm³

Lattice parameters (Å, degrees): 4.095 4.095 4.397 90.00 90.00 90.00
Sites, in units of the cell vectors:
F 0.000 0.500 0.000
F 0.500 0.000 0.000
Sn 0.500 0.500 0.500
Sc 0.000 0.000 0.000
N 0.000 0.000 0.500

***

Crystalline ScTcNF2 at its relaxed geometry. Source: Alexandria, functional PBE-GGA.

Values from the calculation:
* E_form (uncorrected): -5.6 eV per formula unit
* space group: P4/mmm
* mass density: 4.60 g/cm³

Lattice parameters (Å, degrees): 3.970 3.970 4.464 90.00 90.00 90.00
Last column: magnetic moment on the atom in μB.
Sites, in units of the cell vectors:
F 0.500 0.000 0.000  0.04
Sc 0.000 0.000 0.000  0.02
N 0.000 0.000 0.500  0.07
Tc 0.500 0.500 0.500  3.84
F 0.000 0.500 0.000  0.04

***

Crystalline ScTcN2F at its relaxed geometry. Source: Alexandria, functional PBE-GGA.

Values from the calculation:
* E_form (uncorrected): 0.3 eV per formula unit
* space group: P4/mmm
* mass density: 4.63 g/cm³

Lattice parameters (Å, degrees): 4.204 4.204 3.857 90.00 90.00 90.00
Last column: magnetic moment on the atom in μB.
Sites, in units of the cell vectors:
Tc 0.500 0.500 0.500  3.56
N 0.500 0.000 0.000  -0.32
N 0.000 0.500 0.000  -0.32
F 0.000 0.000 0.500  0.04
Sc 0.000 0.000 0.000  0.01